No. 1
The following is a PBE calculation of an optimized crystal structure of NdCdHg2, from the Alexandria database.

Calculated formation energy (eV/f.u.): -1.137
Total energy (eV/atom): -1.856
Fermi-level density of states (states/eV/cell): 2.6

```
data_NdCdHg2
_cell_length_a 3.721
_cell_length_b 3.721
_cell_length_c 7.362
_cell_angle_alpha 90.00
_cell_angle_beta 90.00
_cell_angle_gamma 90.00
_space_group_name_H-M_alt 'P 4/m m m'
_space_group_IT_number 123
_space_group_name_Hall '-P 4 2'
loop_
_atom_site_label
_atom_site_fract_x
_atom_site_fract_y
_atom_site_fract_z
_atom_site_occupancy
Nd1 0.000 0.000 0.000 1
Cd1 0.000 0.000 0.500 1
Hg1 0.500 0.500 0.266 1
```


No. 2
The following is a PBE calculation of an optimized crystal structure of Nd4CdHg2, from the Alexandria database.

Calculated formation energy (eV/f.u.): -1.907
Total energy (eV/atom): -3.214
Fermi-level density of states (states/eV/cell): 18.4

```
data_Nd4CdHg2
_cell_length_a 7.713
_cell_length_b 10.675
_cell_length_c 5.282
_cell_angle_alpha 90.00
_cell_angle_beta 90.00
_cell_angle_gamma 90.00
_space_group_name_H-M_alt 'C m m m'
_space_group_IT_number 65
_space_group_name_Hall '-C 2 2'
loop_
_atom_site_label
_atom_site_fract_x
_atom_site_fract_y
_atom_site_fract_z
_atom_site_occupancy
Nd1 0.240 0.000 0.000 1
Nd2 0.250 0.250 0.500 1
Cd1 0.000 0.500 0.500 1
Hg1 0.000 0.258 0.000 1
```


No. 3
The following is a PBE calculation of an optimized crystal structure of NdCd6Hg6, from the Alexandria database.

Calculated formation energy (eV/f.u.): -1.087
Total energy (eV/atom): -1.012
Fermi-level density of states (states/eV/cell): 11.6

```
data_NdCd6Hg6
_cell_length_a 6.275
_cell_length_b 9.856
_cell_length_c 10.097
_cell_angle_alpha 90.00
_cell_angle_beta 90.00
_cell_angle_gamma 90.00
_space_group_name_H-M_alt 'I m m m'
_space_group_IT_number 71
_space_group_name_Hall '-I 2 2'
loop_
_atom_site_label
_atom_site_fract_x
_atom_site_fract_y
_atom_site_fract_z
_atom_site_occupancy
Nd1 0.000 0.000 0.000 1
Cd1 0.000 0.257 0.500 1
Cd2 0.250 0.250 0.250 1
Hg1 0.000 0.000 0.335 1
Hg2 0.000 0.349 0.000 1
Hg3 0.000 0.500 0.325 1
```


No. 4
The following is a PBE calculation of an optimized crystal structure of NdCd3Hg, from the Alexandria database.

Calculated formation energy (eV/f.u.): -1.089
Total energy (eV/atom): -1.781
Fermi-level density of states (states/eV/cell): 11.4

```
data_NdCd3Hg
_cell_length_a 9.245
_cell_length_b 4.548
_cell_length_c 12.131
_cell_angle_alpha 90.00
_cell_angle_beta 90.00
_cell_angle_gamma 90.00
_space_group_name_H-M_alt 'P n m a'
_space_group_IT_number 62
loop_
_space_group_symop_operation_xyz
'x,y,z'
'-x,-y,-z'
'-x+1/2,-y,z+1/2'
'x+1/2,y,-z+1/2'
'x+1/2,-y+1/2,-z+1/2'
'-x+1/2,y+1/2,z+1/2'
'-x,y+1/2,-z'
'x,-y+1/2,z'
loop_
_atom_site_label
_atom_site_fract_x
_atom_site_fract_y
_atom_site_fract_z
_atom_site_occupancy
Nd1 0.190 0.250 0.003 1
Cd1 0.090 0.250 0.379 1
Cd2 0.098 0.750 0.197 1
Cd3 0.117 0.750 0.806 1
Hg1 0.110 0.250 0.619 1
```


No. 5
The following is a PBE calculation of an optimized crystal structure of NdCdHg2, from the Alexandria database.

Calculated formation energy (eV/f.u.): -0.962
Total energy (eV/atom): -1.812
Fermi-level density of states (states/eV/cell): 9.8

```
data_NdCdHg2
_cell_length_a 8.190
_cell_length_b 9.451
_cell_length_c 5.649
_cell_angle_alpha 90.00
_cell_angle_beta 90.00
_cell_angle_gamma 90.00
_space_group_name_H-M_alt 'C m c m'
_space_group_IT_number 63
_space_group_name_Hall '-C 2c 2'
loop_
_atom_site_label
_atom_site_fract_x
_atom_site_fract_y
_atom_site_fract_z
_atom_site_occupancy
Nd1 0.000 0.159 0.250 1
Cd1 0.000 0.500 0.000 1
Hg1 0.191 0.154 0.750 1
```


No. 6
The following is a PBE calculation of an optimized crystal structure of NdCd2Hg, from the Alexandria database.

Calculated formation energy (eV/f.u.): -0.763
Total energy (eV/atom): -1.916
Offset from the most stable computed form (eV per atom): 0.161
Fermi-level density of states (states/eV/cell): 2.9

```
data_NdCd2Hg
_cell_length_a 3.739
_cell_length_b 3.739
_cell_length_c 7.348
_cell_angle_alpha 90.00
_cell_angle_beta 90.00
_cell_angle_gamma 90.00
_space_group_name_H-M_alt 'P 4/m m m'
_space_group_IT_number 123
_space_group_name_Hall '-P 4 2'
loop_
_atom_site_label
_atom_site_fract_x
_atom_site_fract_y
_atom_site_fract_z
_atom_site_occupancy
Nd1 0.000 0.000 0.000 1
Cd1 0.500 0.500 0.276 1
Hg1 0.000 0.000 0.500 1
```


No. 7
The following is a PBE calculation of an optimized crystal structure of Nd3Cd4Hg4, from the Alexandria database.

Calculated formation energy (eV/f.u.): -3.756
Total energy (eV/atom): -2.084
Fermi-level density of states (states/eV/cell): 7.3

```
data_Nd3Cd4Hg4
_cell_length_a 3.632
_cell_length_b 4.979
_cell_length_c 15.813
_cell_angle_alpha 80.98
_cell_angle_beta 83.42
_cell_angle_gamma 89.97
_space_group_name_H-M_alt 'P -1'
_space_group_IT_number 2
loop_
_space_group_symop_operation_xyz
'x,y,z'
'-x,-y,-z'
loop_
_atom_site_label
_atom_site_fract_x
_atom_site_fract_y
_atom_site_fract_z
_atom_site_occupancy
Nd1 0.000 0.000 0.000 1
Nd2 0.141 0.641 0.719 1
Cd1 0.264 0.264 0.473 1
Cd2 0.408 0.908 0.184 1
Hg1 0.314 0.815 0.369 1
Hg2 0.454 0.452 0.095 1
```


No. 8
The following is a PBE calculation of an optimized crystal structure of Nd3Cd5Hg2, from the Alexandria database.

Calculated formation energy (eV/f.u.): -2.056
Total energy (eV/atom): -2.154
Fermi-level density of states (states/eV/cell): 32.1

```
data_Nd3Cd5Hg2
_cell_length_a 12.477
_cell_length_b 13.517
_cell_length_c 6.409
_cell_angle_alpha 90.00
_cell_angle_beta 90.00
_cell_angle_gamma 90.00
_space_group_name_H-M_alt 'I b a m'
_space_group_IT_number 72
_space_group_name_Hall '-I 2 2c'
loop_
_atom_site_label
_atom_site_fract_x
_atom_site_fract_y
_atom_site_fract_z
_atom_site_occupancy
Nd1 0.000 0.000 0.250 1
Nd2 0.126 0.266 0.000 1
Cd1 0.000 0.500 0.250 1
Cd2 0.128 0.362 0.500 1
Cd3 0.247 0.500 0.250 1
Hg1 0.125 0.158 0.500 1
```


No. 9
The following is a PBE calculation of an optimized crystal structure of Nd3CdHg2, from the Alexandria database.

Calculated formation energy (eV/f.u.): -2.514
Total energy (eV/atom): -3.056
Fermi-level density of states (states/eV/cell): 7.1

```
data_Nd3CdHg2
_cell_length_a 3.844
_cell_length_b 3.844
_cell_length_c 11.534
_cell_angle_alpha 90.00
_cell_angle_beta 90.00
_cell_angle_gamma 90.00
_space_group_name_H-M_alt 'P 4/m m m'
_space_group_IT_number 123
_space_group_name_Hall '-P 4 2'
loop_
_atom_site_label
_atom_site_fract_x
_atom_site_fract_y
_atom_site_fract_z
_atom_site_occupancy
Nd1 0.000 0.000 0.000 1
Nd2 0.000 0.000 0.332 1
Cd1 0.500 0.500 0.500 1
Hg1 0.500 0.500 0.168 1
```


No. 10
The following is a PBE calculation of an optimized crystal structure of NdCdHg, from the Alexandria database.

Calculated formation energy (eV/f.u.): -0.899
Total energy (eV/atom): -2.295
Fermi-level density of states (states/eV/cell): 7.1

```
data_NdCdHg
_cell_length_a 5.102
_cell_length_b 12.045
_cell_length_c 5.117
_cell_angle_alpha 90.00
_cell_angle_beta 90.00
_cell_angle_gamma 90.00
_space_group_name_H-M_alt 'C m c m'
_space_group_IT_number 63
_space_group_name_Hall '-C 2c 2'
loop_
_atom_site_label
_atom_site_fract_x
_atom_site_fract_y
_atom_site_fract_z
_atom_site_occupancy
Nd1 0.000 0.246 0.250 1
Cd1 0.000 0.433 0.750 1
Hg1 0.000 0.081 0.750 1
```


No. 11
The following is a PBE calculation of an optimized crystal structure of NdCd2Hg, from the Alexandria database.

Calculated formation energy (eV/f.u.): -1.406
Total energy (eV/atom): -2.077
Offset from the most stable computed form (eV per atom): 0.000
Fermi-level density of states (states/eV/cell): 3.8

```
data_NdCd2Hg
_cell_length_a 8.945
_cell_length_b 5.186
_cell_length_c 5.184
_cell_angle_alpha 90.00
_cell_angle_beta 125.14
_cell_angle_gamma 90.00
_space_group_name_H-M_alt 'C 1 m 1'
_space_group_IT_number 8
loop_
_space_group_symop_operation_xyz
'x,y,z'
'x,-y,z'
'x+1/2,y+1/2,z'
'x+1/2,-y+1/2,z'
loop_
_atom_site_label
_atom_site_fract_x
_atom_site_fract_y
_atom_site_fract_z
_atom_site_occupancy
Nd1 0.000 0.000 0.000 1
Cd1 0.000 0.500 0.500 1
Cd2 0.250 0.000 0.749 1
Hg1 0.250 0.500 0.251 1
```


No. 12
The following is a PBE calculation of an optimized crystal structure of NdCdHg, from the Alexandria database.

Calculated formation energy (eV/f.u.): -0.850
Total energy (eV/atom): -2.278
Fermi-level density of states (states/eV/cell): 5.2

```
data_NdCdHg
_cell_length_a 3.903
_cell_length_b 3.903
_cell_length_c 10.545
_cell_angle_alpha 90.00
_cell_angle_beta 90.00
_cell_angle_gamma 90.00
_space_group_name_H-M_alt 'I 4 m m'
_space_group_IT_number 107
_space_group_name_Hall 'I 4 -2'
loop_
_atom_site_label
_atom_site_fract_x
_atom_site_fract_y
_atom_site_fract_z
_atom_site_occupancy
Nd1 0.000 0.000 0.000 1
Cd1 0.000 0.000 0.325 1
Hg1 0.000 0.000 0.675 1
```


No. 13
The following is a PBE calculation of an optimized crystal structure of Nd2CdHg4, from the Alexandria database.

Calculated formation energy (eV/f.u.): -2.306
Total energy (eV/atom): -1.995
Offset from the most stable computed form (eV per atom): 0.000
Fermi-level density of states (states/eV/cell): 11.5

```
data_Nd2CdHg4
_cell_length_a 5.1239
_cell_length_b 5.1239
_cell_length_c 25.6100
_cell_angle_alpha 90.00
_cell_angle_beta 90.00
_cell_angle_gamma 120.00
_space_group_name_H-M_alt 'R -3 m'
_space_group_IT_number 166
_space_group_name_Hall '-R 3 2"'
loop_
_atom_site_label
_atom_site_fract_x
_atom_site_fract_y
_atom_site_fract_z
_atom_site_occupancy
Nd1 0.0000 0.0000 0.2476 1
Cd1 0.0000 0.0000 0.5000 1
Hg1 0.0000 0.0000 0.1216 1
Hg2 0.0000 0.0000 0.3707 1
```


No. 14
The following is a PBE calculation of an optimized crystal structure of Nd6CdHg5, from the Alexandria database.

Calculated formation energy (eV/f.u.): -5.358
Total energy (eV/atom): -3.032
Fermi-level density of states (states/eV/cell): 13.3

```
data_Nd6CdHg5
_cell_length_a 5.417
_cell_length_b 7.715
_cell_length_c 8.563
_cell_angle_alpha 90.00
_cell_angle_beta 108.25
_cell_angle_gamma 90.00
_space_group_name_H-M_alt 'P 1 2/m 1'
_space_group_IT_number 10
loop_
_space_group_symop_operation_xyz
'x,y,z'
'-x,-y,-z'
'-x,y,-z'
'x,-y,z'
loop_
_atom_site_label
_atom_site_fract_x
_atom_site_fract_y
_atom_site_fract_z
_atom_site_occupancy
Nd1 0.000 0.248 0.000 1
Nd2 0.331 0.250 0.664 1
Cd1 0.500 0.500 0.000 1
Hg1 0.164 0.500 0.326 1
Hg2 0.167 0.000 0.332 1
Hg3 0.500 0.000 0.000 1
```


No. 15
The following is a PBE calculation of an optimized crystal structure of Nd7Cd2Hg2, from the Alexandria database.

Calculated formation energy (eV/f.u.): -0.553
Total energy (eV/atom): -3.306
Fermi-level density of states (states/eV/cell): 30.1

```
data_Nd7Cd2Hg2
_cell_length_a 7.861
_cell_length_b 11.273
_cell_length_c 8.265
_cell_angle_alpha 90.00
_cell_angle_beta 90.00
_cell_angle_gamma 90.00
_space_group_name_H-M_alt 'C m m m'
_space_group_IT_number 65
_space_group_name_Hall '-C 2 2'
loop_
_atom_site_label
_atom_site_fract_x
_atom_site_fract_y
_atom_site_fract_z
_atom_site_occupancy
Nd1 0.000 0.000 0.000 1
Nd2 0.000 0.500 0.263 1
Nd3 0.250 0.250 0.288 1
Cd1 0.175 0.000 0.500 1
Hg1 0.000 0.290 0.000 1
```


No. 16
The following is a PBE calculation of an optimized crystal structure of NdCd7Hg4, from the Alexandria database.

Calculated formation energy (eV/f.u.): 0.345
Total energy (eV/atom): -1.003
Fermi-level density of states (states/eV/cell): 13.5

```
data_NdCd7Hg4
_cell_length_a 11.984
_cell_length_b 5.950
_cell_length_c 10.305
_cell_angle_alpha 90.00
_cell_angle_beta 121.71
_cell_angle_gamma 90.00
_space_group_name_H-M_alt 'C 1 2/m 1'
_space_group_IT_number 12
loop_
_space_group_symop_operation_xyz
'x,y,z'
'-x,-y,-z'
'-x,y,-z'
'x,-y,z'
'x+1/2,y+1/2,z'
'-x+1/2,-y+1/2,-z'
'-x+1/2,y+1/2,-z'
'x+1/2,-y+1/2,z'
loop_
_atom_site_label
_atom_site_fract_x
_atom_site_fract_y
_atom_site_fract_z
_atom_site_occupancy
Nd1 0.000 0.000 0.000 1
Cd1 0.000 0.500 0.000 1
Cd2 0.093 0.000 0.431 1
Cd3 0.192 0.500 0.913 1
Cd4 0.207 0.500 0.649 1
Hg1 0.092 0.500 0.326 1
Hg2 0.186 0.000 0.763 1
```


No. 17
The following is a PBE calculation of an optimized crystal structure of Nd4Cd3Hg, from the Alexandria database.

Calculated formation energy (eV/f.u.): -2.472
Total energy (eV/atom): -3.074
Offset from the most stable computed form (eV per atom): 0.046
Fermi-level density of states (states/eV/cell): 8.4

```
data_Nd4Cd3Hg
_cell_length_a 3.657
_cell_length_b 5.015
_cell_length_c 12.539
_cell_angle_alpha 90.00
_cell_angle_beta 90.00
_cell_angle_gamma 90.00
_space_group_name_H-M_alt 'P m m 2'
_space_group_IT_number 25
loop_
_space_group_symop_operation_xyz
'x,y,z'
'-x,-y,z'
'-x,y,z'
'x,-y,z'
loop_
_atom_site_label
_atom_site_fract_x
_atom_site_fract_y
_atom_site_fract_z
_atom_site_occupancy
Nd1 0.000 0.000 0.000 1
Nd2 0.000 0.500 0.310 1
Nd3 0.500 0.000 0.497 1
Nd4 0.500 0.500 0.814 1
Cd1 0.000 0.000 0.726 1
Cd2 0.000 0.500 0.584 1
Cd3 0.500 0.500 0.083 1
Hg1 0.500 0.000 0.229 1
```


No. 18
The following is a PBE calculation of an optimized crystal structure of Nd8Cd2Hg, from the Alexandria database.

Calculated formation energy (eV/f.u.): -1.620
Total energy (eV/atom): -3.809
Offset from the most stable computed form (eV per atom): 0.036
Fermi-level density of states (states/eV/cell): 25.4

```
data_Nd8Cd2Hg
_cell_length_a 18.610
_cell_length_b 5.367
_cell_length_c 7.370
_cell_angle_alpha 90.00
_cell_angle_beta 106.87
_cell_angle_gamma 90.00
_space_group_name_H-M_alt 'C 1 2/m 1'
_space_group_IT_number 12
loop_
_space_group_symop_operation_xyz
'x,y,z'
'-x,-y,-z'
'-x,y,-z'
'x,-y,z'
'x+1/2,y+1/2,z'
'-x+1/2,-y+1/2,-z'
'-x+1/2,y+1/2,-z'
'x+1/2,-y+1/2,z'
loop_
_atom_site_label
_atom_site_fract_x
_atom_site_fract_y
_atom_site_fract_z
_atom_site_occupancy
Nd1 0.021 0.000 0.261 1
Nd2 0.091 0.500 0.958 1
Nd3 0.164 0.500 0.456 1
Nd4 0.196 0.000 0.793 1
Cd1 0.186 0.000 0.209 1
Hg1 0.000 0.500 0.500 1
```


No. 19
The following is a PBE calculation of an optimized crystal structure of Nd4CdHg3, from the Alexandria database.

Calculated formation energy (eV/f.u.): -3.103
Total energy (eV/atom): -2.999
Offset from the most stable computed form (eV per atom): 0.045
Fermi-level density of states (states/eV/cell): 9.8

```
data_Nd4CdHg3
_cell_length_a 3.749
_cell_length_b 4.992
_cell_length_c 12.296
_cell_angle_alpha 90.00
_cell_angle_beta 90.00
_cell_angle_gamma 90.00
_space_group_name_H-M_alt 'P m m 2'
_space_group_IT_number 25
loop_
_space_group_symop_operation_xyz
'x,y,z'
'-x,-y,z'
'-x,y,z'
'x,-y,z'
loop_
_atom_site_label
_atom_site_fract_x
_atom_site_fract_y
_atom_site_fract_z
_atom_site_occupancy
Nd1 0.000 0.000 0.000 1
Nd2 0.000 0.500 0.301 1
Nd3 0.500 0.000 0.496 1
Nd4 0.500 0.500 0.804 1
Cd1 0.000 0.000 0.725 1
Hg1 0.000 0.500 0.574 1
Hg2 0.500 0.000 0.228 1
Hg3 0.500 0.500 0.072 1
```


No. 20
The following is a PBE calculation of an optimized crystal structure of Nd2Cd5Hg3, from the Alexandria database.

Calculated formation energy (eV/f.u.): -2.159
Total energy (eV/atom): -1.718
Fermi-level density of states (states/eV/cell): 22.1

```
data_Nd2Cd5Hg3
_cell_length_a 12.664
_cell_length_b 12.772
_cell_length_c 6.323
_cell_angle_alpha 90.00
_cell_angle_beta 90.00
_cell_angle_gamma 90.00
_space_group_name_H-M_alt 'I b a m'
_space_group_IT_number 72
_space_group_name_Hall '-I 2 2c'
loop_
_atom_site_label
_atom_site_fract_x
_atom_site_fract_y
_atom_site_fract_z
_atom_site_occupancy
Nd1 0.124 0.247 0.000 1
Cd1 0.000 0.500 0.250 1
Cd2 0.129 0.138 0.500 1
Cd3 0.244 0.500 0.250 1
Hg1 0.000 0.000 0.250 1
Hg2 0.123 0.352 0.500 1
```